# 1
Material: BeCoCu4Si2
Method: DFT, PBE-GGA
State: relaxed

E_tot: -4.53 eV per atom
total moment: 0.0 μB per cell
symmetry: P4/mmm, No. 123

Unit cell a=3.896 b=3.896 c=5.853 alpha=90.00 beta=90.00 gamma=90.00
Atoms (fractional coordinates):
1 Si 0.500 0.500 0.500
2 Be 0.500 0.500 0.000
3 Si 0.000 0.000 0.000
4 Cu 0.500 0.000 0.767
5 Cu 0.500 0.000 0.233
6 Cu 0.000 0.500 0.233
7 Co 0.000 0.000 0.500
8 Cu 0.000 0.500 0.767

---

# 2
Material: BeCoCuSn
Method: DFT, PBE-GGA
State: relaxed

total moment: 0.0 μB per cell
offset from the most stable computed form: 0 meV per atom
symmetry: F-43m, No. 216

Unit cell a=4.173 b=4.173 c=4.173 alpha=60.00 beta=60.00 gamma=60.00
Atoms (fractional coordinates):
1 Co 0.750 0.750 0.750
2 Sn 0.000 0.000 0.000
3 Be 0.500 0.500 0.500
4 Cu 0.250 0.250 0.250

---

# 3
Material: BeCoCu4Sn2
Method: DFT, PBE-GGA
State: relaxed

E_tot: -4.00 eV per atom
total moment: 0.0 μB per cell
symmetry: P4/mmm, No. 123

Unit cell a=4.247 b=4.247 c=6.114 alpha=90.00 beta=90.00 gamma=90.00
Atoms (fractional coordinates):
1 Cu 0.500 0.000 0.239
2 Cu 0.000 0.500 0.761
3 Sn 0.500 0.500 0.500
4 Cu 0.000 0.500 0.239
5 Co 0.000 0.000 0.500
6 Sn 0.000 0.000 0.000
7 Cu 0.500 0.000 0.761
8 Be 0.500 0.500 0.000

---

# 4
Material: BeCoCuTe
Method: DFT, PBE-GGA
State: relaxed

total moment: 0.0 μB per cell
offset from the most stable computed form: 0 meV per atom
symmetry: F-43m, No. 216

Unit cell a=4.245 b=4.245 c=4.245 alpha=60.00 beta=60.00 gamma=60.00
Atoms (fractional coordinates):
1 Cu 0.000 0.000 0.000
2 Co 0.500 0.500 0.500
3 Te 0.250 0.250 0.250
4 Be 0.750 0.750 0.750